This record from the Open Quantum Materials Database describes a geometry-optimized KCu3SnSe4 structure. The functional is GGA-PBE.

As for the mass density: 4480 kg/m³. The calculation puts the total energy at -3.567 eV per atom.

It has space group P-43m (No. 215), with a = 6.2679 Å, b = 6.2679 Å, c = 6.2679 Å, α = 90.00°, β = 90.00° and γ = 90.00°. The asymmetric unit holds K at (0.0000, 0.0000, 0.0000), Cu at (0.0000, 0.5000, 0.5000), Sn at (0.5000, 0.5000, 0.5000) and Se at (0.2703, 0.2703, 0.2703).